# ZnIn2Pd2 (PBE-GGA, relaxed)
data_ZnIn2Pd2
_chemical_formula_sum 'Zn2 In4 Pd4'
_space_group_name_H-M_alt 'P 1'
_space_group_IT_number 1
_cell_length_a 7.0058
_cell_length_b 7.0058
_cell_length_c 3.7802
_cell_angle_alpha 90.00
_cell_angle_beta 90.00
_cell_angle_gamma 90.00
loop_
_space_group_symop_operation_xyz
'x,y,z'
loop_
_atom_site_label
_atom_site_type_symbol
_atom_site_fract_x
_atom_site_fract_y
_atom_site_fract_z
Zn1 Zn 0.0000 0.0000 0.0000
Zn2 Zn 0.5000 0.5000 0.0000
In1 In 0.1551 0.3449 0.5000
In2 In 0.3449 0.8449 0.5000
In3 In 0.6551 0.1551 0.5000
In4 In 0.8449 0.6551 0.5000
Pd1 Pd 0.1493 0.6493 0.0000
Pd2 Pd 0.3507 0.1493 0.0000
Pd3 Pd 0.6493 0.8507 0.0000
Pd4 Pd 0.8507 0.3507 0.0000
# Space group ... P4/mbm
# Uncorrected energy ... -3.832 eV/atom

***

# ZnIn2Pd2 (PBE-GGA, relaxed)
data_ZnIn2Pd2
_chemical_formula_sum 'Zn2 In4 Pd4'
_space_group_name_H-M_alt 'P 1'
_space_group_IT_number 1
_cell_length_a 7.5567
_cell_length_b 7.5567
_cell_length_c 3.2891
_cell_angle_alpha 90.00
_cell_angle_beta 90.00
_cell_angle_gamma 90.00
loop_
_space_group_symop_operation_xyz
'x,y,z'
loop_
_atom_site_label
_atom_site_type_symbol
_atom_site_fract_x
_atom_site_fract_y
_atom_site_fract_z
Zn1 Zn 0.0000 0.0000 0.0000
Zn2 Zn 0.5000 0.5000 0.0000
In1 In 0.1524 0.3476 0.0000
In2 In 0.3476 0.8476 0.0000
In3 In 0.6524 0.1524 0.0000
In4 In 0.8476 0.6524 0.0000
Pd1 Pd 0.1446 0.6446 0.5000
Pd2 Pd 0.3554 0.1446 0.5000
Pd3 Pd 0.6446 0.8554 0.5000
Pd4 Pd 0.8554 0.3554 0.5000
# Space group ... P4/mbm
# Uncorrected energy ... -3.682 eV/atom

***

# Zn12InPd6 (PBE-GGA, relaxed)
data_Zn12InPd6
_chemical_formula_sum 'Zn12 In1 Pd6'
_space_group_name_H-M_alt 'P 1'
_space_group_IT_number 1
_cell_length_a 7.1292
_cell_length_b 7.1292
_cell_length_c 7.1292
_cell_angle_alpha 107.40
_cell_angle_beta 107.40
_cell_angle_gamma 107.40
loop_
_space_group_symop_operation_xyz
'x,y,z'
loop_
_atom_site_label
_atom_site_type_symbol
_atom_site_fract_x
_atom_site_fract_y
_atom_site_fract_z
Zn1 Zn 0.1384 0.2928 0.8256
Zn2 Zn 0.1744 0.8616 0.7072
Zn3 Zn 0.1935 0.4814 0.5792
Zn4 Zn 0.2928 0.8256 0.1384
Zn5 Zn 0.4208 0.8065 0.5186
Zn6 Zn 0.4814 0.5792 0.1935
Zn7 Zn 0.5186 0.4208 0.8065
Zn8 Zn 0.5792 0.1935 0.4814
Zn9 Zn 0.7072 0.1744 0.8616
Zn10 Zn 0.8065 0.5186 0.4208
Zn11 Zn 0.8256 0.1384 0.2928
Zn12 Zn 0.8616 0.7072 0.1744
In1 In 0.0000 0.0000 0.0000
Pd1 Pd 0.0839 0.4567 0.1885
Pd2 Pd 0.1885 0.0839 0.4567
Pd3 Pd 0.4567 0.1885 0.0839
Pd4 Pd 0.5433 0.8115 0.9161
Pd5 Pd 0.8115 0.9161 0.5433
Pd6 Pd 0.9161 0.5433 0.8115
# Space group ... R-3
# Uncorrected energy ... -2.862 eV/atom

***

# ZnInPd2 (PBE-GGA, relaxed)
data_ZnInPd2
_chemical_formula_sum 'Zn1 In1 Pd2'
_space_group_name_H-M_alt 'P 1'
_space_group_IT_number 1
_cell_length_a 4.5135
_cell_length_b 4.5135
_cell_length_c 4.5135
_cell_angle_alpha 60.00
_cell_angle_beta 60.00
_cell_angle_gamma 60.00
loop_
_space_group_symop_operation_xyz
'x,y,z'
loop_
_atom_site_label
_atom_site_type_symbol
_atom_site_fract_x
_atom_site_fract_y
_atom_site_fract_z
Zn1 Zn 0.0000 0.0000 0.0000
In1 In 0.5000 0.5000 0.5000
Pd1 Pd 0.2500 0.2500 0.2500
Pd2 Pd 0.7500 0.7500 0.7500
# Space group ... Fm-3m
# Uncorrected energy ... -4.107 eV/atom

***

# Zn2InPd2 (PBE-GGA, relaxed)
data_Zn2InPd2
_chemical_formula_sum 'Zn2 In1 Pd2'
_space_group_name_H-M_alt 'P 1'
_space_group_IT_number 1
_cell_length_a 6.2874
_cell_length_b 6.2874
_cell_length_c 6.2874
_cell_angle_alpha 142.67
_cell_angle_beta 142.67
_cell_angle_gamma 53.81
loop_
_space_group_symop_operation_xyz
'x,y,z'
loop_
_atom_site_label
_atom_site_type_symbol
_atom_site_fract_x
_atom_site_fract_y
_atom_site_fract_z
Zn1 Zn 0.1100 0.1100 0.0000
Zn2 Zn 0.8900 0.8900 0.0000
In1 In 0.5000 0.5000 0.0000
Pd1 Pd 0.2500 0.7500 0.5000
Pd2 Pd 0.7500 0.2500 0.5000
# Space group ... I4/mmm
# Energy relative to the lowest polymorph listed for this composition ... 226 meV per atom

***

# ZnIn2Pd6 (PBE-GGA, relaxed)
data_ZnIn2Pd6
_chemical_formula_sum 'Zn1 In2 Pd6'
_space_group_name_H-M_alt 'P 1'
_space_group_IT_number 1
_cell_length_a 7.4572
_cell_length_b 7.4572
_cell_length_c 4.2188
_cell_angle_alpha 106.09
_cell_angle_beta 106.09
_cell_angle_gamma 49.38
loop_
_space_group_symop_operation_xyz
'x,y,z'
loop_
_atom_site_label
_atom_site_type_symbol
_atom_site_fract_x
_atom_site_fract_y
_atom_site_fract_z
Zn1 Zn 0.0000 0.0000 0.0000
In1 In 0.3390 0.3390 0.3409
In2 In 0.6610 0.6610 0.6591
Pd1 Pd 0.0710 0.6024 0.8384
Pd2 Pd 0.2294 0.7706 0.5000
Pd3 Pd 0.3976 0.9290 0.1616
Pd4 Pd 0.6024 0.0710 0.8384
Pd5 Pd 0.7706 0.2294 0.5000
Pd6 Pd 0.9290 0.3976 0.1616
# Space group ... C2/m
# Uncorrected energy ... -4.465 eV/atom

***

# ZnIn4Pd2 (PBE-GGA, relaxed)
data_ZnIn4Pd2
_chemical_formula_sum 'Zn1 In4 Pd2'
_space_group_name_H-M_alt 'P 1'
_space_group_IT_number 1
_cell_length_a 9.5328
_cell_length_b 9.5328
_cell_length_c 9.5328
_cell_angle_alpha 26.72
_cell_angle_beta 26.72
_cell_angle_gamma 26.72
loop_
_space_group_symop_operation_xyz
'x,y,z'
loop_
_atom_site_label
_atom_site_type_symbol
_atom_site_fract_x
_atom_site_fract_y
_atom_site_fract_z
Zn1 Zn 0.0000 0.0000 0.0000
In1 In 0.1992 0.1992 0.1992
In2 In 0.3864 0.3864 0.3864
In3 In 0.6136 0.6136 0.6136
In4 In 0.8008 0.8008 0.8008
Pd1 Pd 0.0945 0.0945 0.0945
Pd2 Pd 0.9055 0.9055 0.9055
# Space group ... R-3m
# Uncorrected energy ... -3.517 eV/atom

***

# ZnIn2Pd4 (PBE-GGA, relaxed)
data_ZnIn2Pd4
_chemical_formula_sum 'Zn1 In2 Pd4'
_space_group_name_H-M_alt 'P 1'
_space_group_IT_number 1
_cell_length_a 7.5462
_cell_length_b 7.5462
_cell_length_c 7.5462
_cell_angle_alpha 144.59
_cell_angle_beta 144.59
_cell_angle_gamma 50.94
loop_
_space_group_symop_operation_xyz
'x,y,z'
loop_
_atom_site_label
_atom_site_type_symbol
_atom_site_fract_x
_atom_site_fract_y
_atom_site_fract_z
Zn1 Zn 0.0000 0.0000 0.0000
In1 In 0.3724 0.3724 0.0000
In2 In 0.6276 0.6276 0.0000
Pd1 Pd 0.0000 0.5000 0.5000
Pd2 Pd 0.1807 0.1807 0.0000
Pd3 Pd 0.5000 0.0000 0.5000
Pd4 Pd 0.8193 0.8193 0.0000
# Space group ... I4/mmm
# Uncorrected energy ... -3.925 eV/atom

***

# ZnInPd2 (PBE-GGA, relaxed)
data_ZnInPd2
_chemical_formula_sum 'Zn1 In1 Pd2'
_space_group_name_H-M_alt 'P 1'
_space_group_IT_number 1
_cell_length_a 5.9074
_cell_length_b 5.9074
_cell_length_c 5.9074
_cell_angle_alpha 151.45
_cell_angle_beta 131.98
_cell_angle_gamma 56.82
loop_
_space_group_symop_operation_xyz
'x,y,z'
loop_
_atom_site_label
_atom_site_type_symbol
_atom_site_fract_x
_atom_site_fract_y
_atom_site_fract_z
Zn1 Zn 0.0000 0.0000 0.0000
In1 In 0.5000 0.5000 0.0000
Pd1 Pd 0.2391 0.2391 0.0000
Pd2 Pd 0.7609 0.7609 0.0000
# Space group ... Immm
# Uncorrected energy ... -3.582 eV/atom

***

# Zn3In2Pd4 (PBE-GGA, relaxed)
data_Zn3In2Pd4
_chemical_formula_sum 'Zn3 In2 Pd4'
_space_group_name_H-M_alt 'P 1'
_space_group_IT_number 1
_cell_length_a 4.0566
_cell_length_b 4.6883
_cell_length_c 8.7036
_cell_angle_alpha 101.49
_cell_angle_beta 90.28
_cell_angle_gamma 115.58
loop_
_space_group_symop_operation_xyz
'x,y,z'
loop_
_atom_site_label
_atom_site_type_symbol
_atom_site_fract_x
_atom_site_fract_y
_atom_site_fract_z
Zn1 Zn 0.0000 0.0000 0.0000
Zn2 Zn 0.3487 0.6924 0.4448
Zn3 Zn 0.6513 0.3076 0.5552
In1 In 0.3183 0.6405 0.7783
In2 In 0.6817 0.3595 0.2217
Pd1 Pd 0.0210 0.0358 0.3373
Pd2 Pd 0.3427 0.6833 0.1065
Pd3 Pd 0.6573 0.3167 0.8935
Pd4 Pd 0.9790 0.9642 0.6627
# Space group ... P-1
# Uncorrected energy ... -3.780 eV/atom

***

# Zn2InPd9 (PBE-GGA, relaxed)
data_Zn2InPd9
_chemical_formula_sum 'Zn2 In1 Pd9'
_space_group_name_H-M_alt 'P 1'
_space_group_IT_number 1
_cell_length_a 3.9735
_cell_length_b 3.9735
_cell_length_c 11.7580
_cell_angle_alpha 90.00
_cell_angle_beta 90.00
_cell_angle_gamma 90.00
loop_
_space_group_symop_operation_xyz
'x,y,z'
loop_
_atom_site_label
_atom_site_type_symbol
_atom_site_fract_x
_atom_site_fract_y
_atom_site_fract_z
Zn1 Zn 0.0000 0.0000 0.1624
Zn2 Zn 0.0000 0.0000 0.8376
In1 In 0.0000 0.0000 0.5000
Pd1 Pd 0.0000 0.5000 0.0000
Pd2 Pd 0.0000 0.5000 0.3246
Pd3 Pd 0.0000 0.5000 0.6754
Pd4 Pd 0.5000 0.0000 0.0000
Pd5 Pd 0.5000 0.0000 0.3246
Pd6 Pd 0.5000 0.0000 0.6754
Pd7 Pd 0.5000 0.5000 0.1620
Pd8 Pd 0.5000 0.5000 0.5000
Pd9 Pd 0.5000 0.5000 0.8380
# Space group ... P4/mmm
# Uncorrected energy ... -4.669 eV/atom

***

Number 1: total magnetic moment 0.00 μB per atom, DOS at the Fermi energy 2.93 states/eV per cell. Number 2: total magnetic moment 0.00 μB per atom, DOS at the Fermi energy 2.46 states/eV per cell. Number 3: total magnetic moment 0.00 μB per atom, DOS at the Fermi energy 7.39 states/eV per cell. Number 4: total magnetic moment 0.00 μB per atom, DOS at the Fermi energy 1.55 states/eV per cell. Number 5: total magnetic moment 0.00 μB per atom, DOS at the Fermi energy 2.16 states/eV per cell. Number 6: total magnetic moment 0.00 μB per atom, DOS at the Fermi energy 2.39 states/eV per cell. Number 7: total magnetic moment 0.00 μB per atom, DOS at the Fermi energy 2.93 states/eV per cell. Number 8: total magnetic moment 0.00 μB per atom, DOS at the Fermi energy 2.43 states/eV per cell. Number 9: total magnetic moment 0.00 μB per atom, DOS at the Fermi energy 2.63 states/eV per cell. Number 10: total magnetic moment 0.00 μB per atom, DOS at the Fermi energy 2.65 states/eV per cell. Number 11: total magnetic moment 0.00 μB per atom, DOS at the Fermi energy 16.76 states/eV per cell.